6
Lattice="3.7633 -1.3326 0.0000 3.7633 1.3326 0.0000 -0.0447 0.0000 7.5019" Properties=species:S:1:pos:R:3 comment="GGA-PBE BeFeIr, relaxed" space_group="No. 12" volume_a3_per_cell=75 de_polymorph_mev_per_atom=327.7 total_magnetization_mub_per_cell=5.4 pbc="T T T"
Be 1.0377 0.0000 0.6011
Be 6.4441 0.0000 6.9008
Fe 1.0010 0.0000 3.0757
Fe 6.4809 0.0000 4.4261
Ir 1.0384 0.0000 5.7881
Ir 6.4435 0.0000 1.7138

3
Lattice="3.9263 0.0000 0.0000 -1.9632 3.4003 0.0000 0.0000 0.0000 2.6587" Properties=species:S:1:pos:R:3 comment="GGA-PBE BeFeIr, relaxed" space_group="No. 156" volume_a3_per_cell=35 de_polymorph_mev_per_atom=129.2 total_magnetization_mub_per_cell=2.9 pbc="T T T"
Be 0.0000 0.0000 0.0000
Fe 1.9632 1.1334 1.9074
Ir 0.0000 2.2669 0.6855

4
Lattice="2.7308 0.0000 0.0000 0.0000 2.7308 0.0000 0.0000 0.0000 5.4692" Properties=species:S:1:pos:R:3 comment="GGA-PBE Be2FeIr, relaxed" space_group="No. 99" volume_a3_per_cell=41 final_energy_ev_per_cell=-25.81 total_magnetization_mub_per_cell=1.1 pbc="T T T"
Be 0.0000 0.0000 0.0000
Be 1.3654 1.3654 1.1155
Fe 0.0000 0.0000 2.3891
Ir 1.3654 1.3654 4.0795

10
Lattice="2.8169 0.0000 0.0000 0.0000 2.8169 0.0000 0.0000 0.0000 14.4866" Properties=species:S:1:pos:R:3 comment="GGA-PBE Be4FeIr5, relaxed" space_group="No. 123" volume_a3_per_cell=115 final_energy_ev_per_cell=-72.16 total_magnetization_mub_per_cell=3.1 pbc="T T T"
Be 0.0000 0.0000 1.3940
Be 0.0000 0.0000 4.1544
Be 0.0000 0.0000 10.3322
Be 0.0000 0.0000 13.0926
Fe 0.0000 0.0000 7.2433
Ir 1.4084 1.4084 0.0000
Ir 1.4084 1.4084 2.7919
Ir 1.4084 1.4084 5.5870
Ir 1.4084 1.4084 8.8996
Ir 1.4084 1.4084 11.6947

4
Lattice="1.3235 0.7641 7.3518 -1.3235 0.7641 7.3518 0.0000 -1.5283 7.3518" Properties=species:S:1:pos:R:3 comment="GGA-PBE Be2FeIr, relaxed" space_group="No. 166" volume_a3_per_cell=45 final_energy_ev_per_cell=-25.03 total_magnetization_mub_per_cell=1.8 pbc="T T T"
Be 0.0000 0.0000 5.4990
Be 0.0000 0.0000 16.5563
Fe 0.0000 0.0000 11.0277
Ir 0.0000 0.0000 0.0000

4
Lattice="-1.7172 1.7172 3.6883 1.7172 -1.7172 3.6883 1.7172 1.7172 -3.6883" Properties=species:S:1:pos:R:3 comment="GGA-PBE Be2FeIr, relaxed" space_group="No. 119" volume_a3_per_cell=44 final_energy_ev_per_cell=-25.62 total_magnetization_mub_per_cell=2.8 pbc="T T T"
Be 0.0000 0.0000 0.0000
Be 0.0000 1.7172 1.8441
Fe 1.7172 0.0000 1.8441
Ir 0.0000 0.0000 3.6883

4
Lattice="1.4172 -2.1554 0.0000 1.4172 2.1554 0.0000 0.0000 0.0000 7.1868" Properties=species:S:1:pos:R:3 comment="GGA-PBE Be2FeIr, relaxed" space_group="No. 65" volume_a3_per_cell=44 final_energy_ev_per_cell=-25.00 total_magnetization_mub_per_cell=1.5 pbc="T T T"
Be 0.0000 0.0000 1.7416
Be 0.0000 0.0000 5.4452
Fe 1.4172 0.0000 0.0000
Ir 1.4172 0.0000 3.5934

3
Lattice="0.0000 2.6597 2.6597 2.6597 0.0000 2.6597 2.6597 2.6597 0.0000" Properties=species:S:1:pos:R:3 comment="GGA-PBE BeFeIr, relaxed" space_group="No. 216" volume_a3_per_cell=38 de_polymorph_mev_per_atom=296.0 total_magnetization_mub_per_cell=3.1 pbc="T T T"
Be 0.0000 0.0000 0.0000
Fe 1.3298 1.3298 1.3298
Ir 3.9895 3.9895 3.9895

4
Lattice="1.3813 -2.1748 0.0000 1.3813 2.1748 0.0000 0.0000 0.0000 7.6840" Properties=species:S:1:pos:R:3 comment="GGA-PBE Be2FeIr, relaxed" space_group="No. 35" volume_a3_per_cell=46 final_energy_ev_per_cell=-24.32 total_magnetization_mub_per_cell=2.6 pbc="T T T"
Be 0.0000 0.0000 0.0000
Be 1.3813 0.0000 1.7995
Fe 0.0000 0.0000 3.6135
Ir 1.3813 0.0000 5.8317

4
Lattice="1.3129 0.7580 7.7425 -1.3129 0.7580 7.7425 0.0000 -1.5161 7.7425" Properties=species:S:1:pos:R:3 comment="GGA-PBE Be2FeIr, relaxed" space_group="No. 160" volume_a3_per_cell=46 final_energy_ev_per_cell=-24.46 total_magnetization_mub_per_cell=2.3 pbc="T T T"
Be 0.0000 0.0000 0.0000
Be 0.0000 0.0000 5.8246
Fe 0.0000 0.0000 11.7502
Ir 0.0000 0.0000 17.3309

10
Lattice="6.0465 0.0000 0.0000 0.0000 6.0465 0.0000 0.0000 0.0000 2.8470" Properties=species:S:1:pos:R:3 comment="GGA-PBE Be2Fe2Ir, relaxed" space_group="No. 127" volume_a3_per_cell=104 final_energy_ev_per_cell=-68.67 total_magnetization_mub_per_cell=8.6 pbc="T T T"
Be 0.7616 2.2617 0.0000
Be 2.2617 5.2849 0.0000
Be 3.7848 0.7616 0.0000
Be 5.2849 3.7848 0.0000
Fe 1.0135 4.0367 1.4235
Fe 2.0098 1.0135 1.4235
Fe 4.0367 5.0330 1.4235
Fe 5.0330 2.0098 1.4235
Ir 0.0000 0.0000 0.0000
Ir 3.0232 3.0232 0.0000

8
Lattice="3.9293 0.0000 0.0000 0.0000 3.9293 0.0000 0.0000 0.0000 5.5704" Properties=species:S:1:pos:R:3 comment="GGA-PBE Be4FeIr3, relaxed" space_group="No. 123" volume_a3_per_cell=86 final_energy_ev_per_cell=-53.68 total_magnetization_mub_per_cell=2.5 pbc="T T T"
Be 0.0000 1.9646 1.3597
Be 0.0000 1.9646 4.2107
Be 1.9646 0.0000 1.3597
Be 1.9646 0.0000 4.2107
Fe 0.0000 0.0000 2.7852
Ir 0.0000 0.0000 0.0000
Ir 1.9646 1.9646 0.0000
Ir 1.9646 1.9646 2.7852

10
Lattice="2.8042 0.0000 0.0000 0.0000 2.8042 0.0000 0.0000 0.0000 13.7890" Properties=species:S:1:pos:R:3 comment="GGA-PBE Be5FeIr4, relaxed" space_group="No. 123" volume_a3_per_cell=108 final_energy_ev_per_cell=-67.26 total_magnetization_mub_per_cell=2.5 pbc="T T T"
Be 0.0000 0.0000 0.0000
Be 0.0000 0.0000 2.8095
Be 0.0000 0.0000 5.4956
Be 0.0000 0.0000 8.2934
Be 0.0000 0.0000 10.9796
Fe 1.4021 1.4021 6.8945
Ir 1.4021 1.4021 1.4002
Ir 1.4021 1.4021 4.2443
Ir 1.4021 1.4021 9.5447
Ir 1.4021 1.4021 12.3889

4
Lattice="3.8537 0.0000 0.0000 0.0000 3.8537 0.0000 0.0000 0.0000 2.7783" Properties=species:S:1:pos:R:3 comment="GGA-PBE Be2FeIr, relaxed" space_group="No. 123" volume_a3_per_cell=41 final_energy_ev_per_cell=-26.20 total_magnetization_mub_per_cell=2.1 pbc="T T T"
Be 0.0000 1.9268 0.0000
Be 1.9268 0.0000 0.0000
Fe 0.0000 0.0000 1.3892
Ir 1.9268 1.9268 1.3892

4
Lattice="3.5776 0.0000 0.0000 0.0000 1.3855 4.1856 0.0000 -1.3855 4.1856" Properties=species:S:1:pos:R:3 comment="GGA-PBE Be2FeIr, relaxed" space_group="No. 38" volume_a3_per_cell=41 final_energy_ev_per_cell=-26.14 total_magnetization_mub_per_cell=2.4 pbc="T T T"
Be 0.0000 0.0000 0.0000
Be 1.7888 0.0000 1.2398
Fe 0.0000 0.0000 6.0726
Ir 1.7888 0.0000 3.5385

4
Lattice="-1.3932 1.9089 3.9640 1.3932 -1.9089 3.9640 1.3932 1.9089 -3.9640" Properties=species:S:1:pos:R:3 comment="GGA-PBE Be2FeIr, relaxed" space_group="No. 44" volume_a3_per_cell=42 final_energy_ev_per_cell=-25.86 total_magnetization_mub_per_cell=2.5 pbc="T T T"
Be 0.0000 0.0000 0.0000
Be 0.0000 1.9089 2.1378
Fe 1.3932 0.0000 1.9680
Ir 0.0000 0.0000 4.1118

4
Lattice="-1.4655 2.0526 3.5661 1.4655 -2.0526 3.5661 1.4655 2.0526 -3.5661" Properties=species:S:1:pos:R:3 comment="GGA-PBE Be2FeIr, relaxed" space_group="No. 71" volume_a3_per_cell=43 final_energy_ev_per_cell=-25.56 total_magnetization_mub_per_cell=2.0 pbc="T T T"
Be 0.0000 0.0000 1.7264
Be 0.0000 0.0000 5.4057
Fe 1.4655 0.0000 0.0000
Ir 0.0000 2.0526 0.0000

3
Lattice="-1.3839 1.3839 4.4140 1.3839 -1.3839 4.4140 1.3839 1.3839 -4.4140" Properties=species:S:1:pos:R:3 comment="GGA-PBE BeFeIr, relaxed" space_group="No. 107" volume_a3_per_cell=34 de_polymorph_mev_per_atom=0.0 total_magnetization_mub_per_cell=2.3 pbc="T T T"
Be 0.0000 0.0000 0.0000
Fe 0.0000 0.0000 3.0547
Ir 0.0000 0.0000 5.7645

5
Lattice="4.1446 0.0000 0.0000 0.0000 4.1446 0.0000 0.0000 0.0000 4.1446" Properties=species:S:1:pos:R:3 comment="GGA-PBE Be3FeIr, relaxed" space_group="No. 221" volume_a3_per_cell=71 de_polymorph_mev_per_atom=0.0 total_magnetization_mub_per_cell=3.0 pbc="T T T"
Be 0.0000 0.0000 2.0723
Be 0.0000 2.0723 0.0000
Be 2.0723 0.0000 0.0000
Fe 2.0723 2.0723 2.0723
Ir 0.0000 0.0000 0.0000

5
Lattice="3.7845 0.0000 0.0000 0.0000 3.7845 0.0000 0.0000 0.0000 3.7845" Properties=species:S:1:pos:R:3 comment="GGA-PBE Be3FeIr, relaxed" space_group="No. 221" volume_a3_per_cell=54 de_polymorph_mev_per_atom=113.6 total_magnetization_mub_per_cell=0.0 pbc="T T T"
Be 0.0000 0.0000 1.8922
Be 0.0000 1.8922 0.0000
Be 1.8922 0.0000 0.0000
Fe 0.0000 0.0000 0.0000
Ir 1.8922 1.8922 1.8922